# KNa2CeF8, optimized geometry, DFT PBE-GGA
# N(E_F) ... 21.74 states/eV/cell
# Formation energy without anion corrections ... -2.953 eV per atom
data_KNa2CeF8
_chemical_formula_sum 'K2 Na4 Ce2 F16'
_cell_length_a 5.633
_cell_length_b 5.633
_cell_length_c 11.784
_cell_angle_alpha 90.00
_cell_angle_beta 90.00
_cell_angle_gamma 90.00
_symmetry_space_group_name_H-M 'I -4 m 2'
_symmetry_Int_Tables_number 119
_symmetry_space_group_name_Hall 'I -4 -2'
loop_
_atom_site_label
_atom_site_type_symbol
_atom_site_fract_x
_atom_site_fract_y
_atom_site_fract_z
K1 K 0.000 0.000 0.000
Na1 Na 0.000 0.000 0.500
Na2 Na 0.000 0.500 0.250
Ce1 Ce 0.000 0.500 0.750
F1 F 0.225 0.257 0.638


# Be2CoH, optimized geometry, DFT PBE-GGA
# N(E_F) ... 10.51 states/eV/cell
# Relative energy among the computed polymorphs ... 0.54 eV/f.u.
data_Be2CoH
_chemical_formula_sum 'Be8 Co4 H4'
_cell_length_a 4.453
_cell_length_b 4.453
_cell_length_c 6.014
_cell_angle_alpha 90.00
_cell_angle_beta 90.00
_cell_angle_gamma 90.00
_symmetry_space_group_name_H-M 'I -4 2 d'
_symmetry_Int_Tables_number 122
_symmetry_space_group_name_Hall 'I -4 2bw'
loop_
_atom_site_label
_atom_site_type_symbol
_atom_site_fract_x
_atom_site_fract_y
_atom_site_fract_z
Be1 Be 0.082 0.250 0.125
Co1 Co 0.000 0.000 0.500
H1 H 0.000 0.000 0.000


# Tl4Sb4Au3, optimized geometry, DFT PBE-GGA
# N(E_F) ... 4.12 states/eV/cell
# Formation energy without anion corrections ... -0.056 eV per atom
data_Tl4Sb4Au3
_chemical_formula_sum 'Tl4 Sb4 Au3'
_cell_length_a 4.212
_cell_length_b 5.112
_cell_length_c 15.026
_cell_angle_alpha 91.10
_cell_angle_beta 93.81
_cell_angle_gamma 90.40
_symmetry_space_group_name_H-M 'P -1'
_symmetry_Int_Tables_number 2
loop_
_symmetry_equiv_pos_as_xyz
'x,y,z'
'-x,-y,-z'
loop_
_atom_site_label
_atom_site_type_symbol
_atom_site_fract_x
_atom_site_fract_y
_atom_site_fract_z
Tl1 Tl 0.040 0.207 0.199
Tl2 Tl 0.351 0.752 0.573
Sb1 Sb 0.071 0.752 0.358
Sb2 Sb 0.487 0.283 0.937
Au1 Au 0.000 0.000 0.000
Au2 Au 0.460 0.350 0.756


# Rb2AlCl2F4, optimized geometry, DFT PBE-GGA
# Formation energy without anion corrections ... -2.461 eV per atom
data_Rb2AlCl2F4
_chemical_formula_sum 'Rb4 Al2 Cl4 F8'
_cell_length_a 6.869
_cell_length_b 6.869
_cell_length_c 7.827
_cell_angle_alpha 90.00
_cell_angle_beta 90.00
_cell_angle_gamma 90.00
_symmetry_space_group_name_H-M 'I 4/m m m'
_symmetry_Int_Tables_number 139
_symmetry_space_group_name_Hall '-I 4 2'
loop_
_atom_site_label
_atom_site_type_symbol
_atom_site_fract_x
_atom_site_fract_y
_atom_site_fract_z
Rb1 Rb 0.000 0.500 0.250
Al1 Al 0.000 0.000 0.000
Cl1 Cl 0.000 0.000 0.336
F1 F 0.181 0.181 0.000


# SnGeI2O, optimized geometry, DFT PBE-GGA
# N(E_F) ... 2.91 states/eV/cell
# Relative energy among the computed polymorphs ... 1.04 eV/f.u.
# Formation energy without anion corrections ... -0.067 eV per atom
data_SnGeI2O
_chemical_formula_sum 'Sn1 Ge1 I2 O1'
_cell_length_a 6.122
_cell_length_b 6.122
_cell_length_c 4.026
_cell_angle_alpha 90.00
_cell_angle_beta 90.00
_cell_angle_gamma 90.00
_symmetry_space_group_name_H-M 'P 4/m m m'
_symmetry_Int_Tables_number 123
_symmetry_space_group_name_Hall '-P 4 2'
loop_
_atom_site_label
_atom_site_type_symbol
_atom_site_fract_x
_atom_site_fract_y
_atom_site_fract_z
Sn1 Sn 0.000 0.000 0.000
Ge1 Ge 0.500 0.500 0.500
I1 I 0.000 0.500 0.000
O1 O 0.000 0.000 0.500


# Pa2FeCo12P3, optimized geometry, DFT PBE-GGA
# Energy of formation from the pure elements ... -0.084 eV per atom
# N(E_F) ... 50.71 states/eV/cell
data_Pa2FeCo12P3
_chemical_formula_sum 'Pa6 Fe3 Co36 P9'
_cell_length_a 8.1592
_cell_length_b 8.1592
_cell_length_c 12.0509
_cell_angle_alpha 90.00
_cell_angle_beta 90.00
_cell_angle_gamma 120.00
_symmetry_space_group_name_H-M 'R -3 m'
_symmetry_Int_Tables_number 166
_symmetry_space_group_name_Hall '-R 3 2"'
loop_
_atom_site_label
_atom_site_type_symbol
_atom_site_fract_x
_atom_site_fract_y
_atom_site_fract_z
Pa1 Pa 0.0000 0.0000 0.1413
Fe1 Fe 0.0000 0.0000 0.5000
Co1 Co 0.0077 0.5039 0.8193
Co2 Co 0.0149 0.5074 0.3818
P1 P 0.0000 0.5000 0.0000


# Sm2MnCo2, optimized geometry, DFT PBE-GGA
# Energy of formation from the pure elements ... -0.056 eV per atom
# N(E_F) ... 16.05 states/eV/cell
data_Sm2MnCo2
_chemical_formula_sum 'Sm8 Mn4 Co8'
_cell_length_a 9.481
_cell_length_b 5.494
_cell_length_c 7.538
_cell_angle_alpha 90.00
_cell_angle_beta 103.46
_cell_angle_gamma 90.00
_symmetry_space_group_name_H-M 'C 1 2/c 1'
_symmetry_Int_Tables_number 15
loop_
_symmetry_equiv_pos_as_xyz
'x,y,z'
'-x,-y,-z'
'-x,y,-z+1/2'
'x,-y,z+1/2'
'x+1/2,y+1/2,z'
'-x+1/2,-y+1/2,-z'
'-x+1/2,y+1/2,-z+1/2'
'x+1/2,-y+1/2,z+1/2'
loop_
_atom_site_label
_atom_site_type_symbol
_atom_site_fract_x
_atom_site_fract_y
_atom_site_fract_z
Sm1 Sm 0.148 0.134 0.148
Mn1 Mn 0.000 0.388 0.750
Co1 Co 0.136 0.364 0.503


# CaSm2ReN4, optimized geometry, DFT PBE-GGA
# N(E_F) ... 7.59 states/eV/cell
# Formation energy without anion corrections ... -0.841 eV per atom
data_CaSm2ReN4
_chemical_formula_sum 'Ca4 Sm8 Re4 N16'
_cell_length_a 3.467
_cell_length_b 12.279
_cell_length_c 12.363
_cell_angle_alpha 90.00
_cell_angle_beta 90.00
_cell_angle_gamma 90.00
_symmetry_space_group_name_H-M 'C m c m'
_symmetry_Int_Tables_number 63
_symmetry_space_group_name_Hall '-C 2c 2'
loop_
_atom_site_label
_atom_site_type_symbol
_atom_site_fract_x
_atom_site_fract_y
_atom_site_fract_z
Ca1 Ca 0.000 0.055 0.250
Sm1 Sm 0.000 0.371 0.040
Re1 Re 0.000 0.189 0.750
N1 N 0.000 0.000 0.000
N2 N 0.000 0.262 0.618
N3 N 0.000 0.407 0.250